PBE PuCdFe, relaxed; total magnetization = 3.35 μB/f.u.; total DFT energy (no corrections) = -23.387 eV/f.u.; formation energy from the elements = 0.11 eV/atom; theoretical density = 11.5 Mg/m³
1.0
-1.5906 1.5906 5.8984
1.5906 -1.5906 5.8984
1.5906 1.5906 -5.8984
Pu Cd Fe
1 1 1
Cartesian
0.0000 0.0000 0.0000
0.0000 0.0000 8.4490
0.0000 0.0000 4.2908